(1)
Below is a relaxed Pu2CuGe4Au3 crystal, with properties calculated at the PBE level.

For the volume, the calculation gives 20.27 Å³ per atom. The calculated formation energy is -0.2842 eV/atom.

```
data_Pu2CuGe4Au3
_chemical_formula_sum 'Pu2 Cu1 Ge4 Au3'
_symmetry_space_group_name_H-M 'P -4 m 2'
_symmetry_Int_Tables_number 115
_symmetry_space_group_name_Hall 'P -4 -2'
_cell_length_a 4.308
_cell_length_b 4.308
_cell_length_c 10.922
_cell_angle_alpha 90.00
_cell_angle_beta 90.00
_cell_angle_gamma 90.00
loop_
_atom_site_label
_atom_site_fract_x
_atom_site_fract_y
_atom_site_fract_z
_atom_site_occupancy
Pu1 0.000 0.500 0.234 1
Cu1 0.500 0.500 0.000 1
Ge1 0.000 0.000 0.500 1
Ge2 0.000 0.500 0.871 1
Ge3 0.500 0.500 0.500 1
Au1 0.000 0.000 0.000 1
Au2 0.000 0.500 0.641 1
```

***

(2)
Below is a relaxed Cu7Ge2Sb2Au crystal, with properties calculated at the PBE level.

For the uncorrected formation energy, the calculation gives 0.13 eV/atom. For the volume, the calculation gives 16.74 Å³ per atom.

```
data_Cu7Ge2Sb2Au
_chemical_formula_sum 'Cu14 Ge4 Sb4 Au2'
_symmetry_space_group_name_H-M 'C 1 2/m 1'
_symmetry_Int_Tables_number 12
_symmetry_space_group_name_Hall '-C 2y'
_cell_length_a 5.372
_cell_length_b 5.395
_cell_length_c 13.914
_cell_angle_alpha 90.00
_cell_angle_beta 94.81
_cell_angle_gamma 90.00
loop_
_atom_site_label
_atom_site_fract_x
_atom_site_fract_y
_atom_site_fract_z
_atom_site_occupancy
Cu1 0.000 0.000 0.000 1
Cu2 0.130 0.000 0.428 1
Cu3 0.219 0.248 0.862 1
Ge1 0.061 0.000 0.254 1
Sb1 0.121 0.500 0.395 1
Au1 0.000 0.500 0.000 1
```

***

(3)
Below is a relaxed Cu7Ge2SbAu2 crystal, with properties calculated at the PBE level.

For the uncorrected formation energy, the calculation gives 0.09 eV/atom. For the volume, the calculation gives 15.37 Å³ per atom.

```
data_Cu7Ge2SbAu2
_chemical_formula_sum 'Cu14 Ge4 Sb2 Au4'
_symmetry_space_group_name_H-M 'C m m m'
_symmetry_Int_Tables_number 65
_symmetry_space_group_name_Hall '-C 2 2'
_cell_length_a 5.430
_cell_length_b 5.613
_cell_length_c 12.100
_cell_angle_alpha 90.00
_cell_angle_beta 90.00
_cell_angle_gamma 90.00
loop_
_atom_site_label
_atom_site_fract_x
_atom_site_fract_y
_atom_site_fract_z
_atom_site_occupancy
Cu1 0.000 0.000 0.000 1
Cu2 0.242 0.500 0.500 1
Cu3 0.250 0.250 0.159 1
Ge1 0.000 0.500 0.324 1
Sb1 0.000 0.500 0.000 1
Au1 0.000 0.000 0.315 1
```

***

(4)
Below is a relaxed Cu7GeSb2Au2 crystal, with properties calculated at the PBE level.

For the uncorrected formation energy, the calculation gives 0.08 eV/atom. For the volume, the calculation gives 16.11 Å³ per atom.

```
data_Cu7GeSb2Au2
_chemical_formula_sum 'Cu14 Ge2 Sb4 Au4'
_symmetry_space_group_name_H-M 'C 1 2/m 1'
_symmetry_Int_Tables_number 12
_symmetry_space_group_name_Hall '-C 2y'
_cell_length_a 5.227
_cell_length_b 5.229
_cell_length_c 14.371
_cell_angle_alpha 90.00
_cell_angle_beta 100.13
_cell_angle_gamma 90.00
loop_
_atom_site_label
_atom_site_fract_x
_atom_site_fract_y
_atom_site_fract_z
_atom_site_occupancy
Cu1 0.000 0.000 0.000 1
Cu2 0.186 0.250 0.871 1
Cu3 0.224 0.000 0.458 1
Ge1 0.000 0.500 0.000 1
Sb1 0.177 0.500 0.359 1
Au1 0.132 0.000 0.266 1
```

***

(5)
Below is a relaxed ScCuGeAu crystal, with properties calculated at the PBE level.

For the volume, the calculation gives 16.97 Å³ per atom. The calculated formation energy is -0.3972 eV/atom.

```
data_ScCuGeAu
_chemical_formula_sum 'Sc4 Cu4 Ge4 Au4'
_symmetry_space_group_name_H-M 'F -4 3 m'
_symmetry_Int_Tables_number 216
_symmetry_space_group_name_Hall 'F -4 2 3'
_cell_length_a 6.476
_cell_length_b 6.476
_cell_length_c 6.476
_cell_angle_alpha 90.00
_cell_angle_beta 90.00
_cell_angle_gamma 90.00
loop_
_atom_site_label
_atom_site_fract_x
_atom_site_fract_y
_atom_site_fract_z
_atom_site_occupancy
Sc1 0.000 0.000 0.000 1
Cu1 0.000 0.000 0.500 1
Ge1 0.250 0.250 0.750 1
Au1 0.250 0.250 0.250 1
```

***

(6)
Below is a relaxed Cu2GeAuSe4 crystal, with properties calculated at the PBE level.

For the uncorrected formation energy, the calculation gives -0.19 eV/atom. For the volume, the calculation gives 23.16 Å³ per atom.

```
data_Cu2GeAuSe4
_chemical_formula_sum 'Cu8 Ge4 Au4 Se16'
_symmetry_space_group_name_H-M 'F m m 2'
_symmetry_Int_Tables_number 42
_symmetry_space_group_name_Hall 'F 2 -2'
_cell_length_a 8.144
_cell_length_b 8.151
_cell_length_c 11.167
_cell_angle_alpha 90.00
_cell_angle_beta 90.00
_cell_angle_gamma 90.00
loop_
_atom_site_label
_atom_site_fract_x
_atom_site_fract_y
_atom_site_fract_z
_atom_site_occupancy
Cu1 0.250 0.250 0.000 1
Ge1 0.000 0.000 0.250 1
Au1 0.000 0.000 0.750 1
Se1 0.000 0.239 0.117 1
Se2 0.239 0.000 0.384 1
```